DFT (PBE) results for a relaxed LaTmTe crystal.

abc: 4.5289 4.5289 8.8073
angles: 90.00 90.00 90.00
Last column: nearest neighbours and their distance in Å.
Space group P4/nmm (No. 129, origin choice 2)
One atom of each set of equivalent atoms:
La (0.2500, 0.2500, 0.1454) x2  5 Te 3.30-3.36
Tm (0.2500, 0.7500, 0.5000) x2  4 Tm 3.20, 4 Te 3.24
Te (0.2500, 0.2500, 0.7635) x2  4 Tm 3.24, 5 La 3.30-3.36

Values from the calculation:
Crystal system: tetragonal
Relative energy among the computed polymorphs in eV per atom: 0.0000
M_tot in μB per atom: 0.00
Uncorrected formation energy in meV per atom: -926

DFT (PBE) results for a relaxed La3Tm4Te8 crystal.

abc: 12.5115 12.5307 8.8028
angles: 90.00 134.57 90.00
Last column: nearest neighbours and their distance in Å.
Space group C2/m (No. 12)
One atom of each set of equivalent atoms:
La (0.0000, 0.0000, 0.0000) x2  6 Te 3.22
La (0.2500, 0.2500, 0.0000) x4  6 Te 3.13-3.14
Tm (0.0000, 0.5000, 0.0000) x2  6 Te 3.04-3.05
Tm (0.0000, 0.5000, 0.5000) x2  6 Te 3.11-3.12
Tm (0.2500, 0.2500, 0.5000) x4  6 Te 3.13-3.14
Te (0.0000, 0.2515, 0.5000) x4  3 Tm 3.11-3.13, 2 La 3.14
Te (0.0000, 0.2570, 0.0000) x4  3 Tm 3.04-3.14, 3 La 3.13-3.22
Te (0.2405, 0.5000, 0.9953) x4  2 Tm 3.04-3.11, 3 La 3.13-3.22
Te (0.2426, 0.5000, 0.4864) x4  4 Tm 3.05-3.13, 1 La 3.22

Values from the calculation:
Crystal system: monoclinic
M_tot in μB per atom: 0.00
Uncorrected formation energy in meV per atom: -1395

DFT (PBE) results for a relaxed La2TmTe crystal.

abc: 4.0975 4.0975 7.7835
angles: 90.00 90.00 90.00
Last column: nearest neighbours and their distance in Å.
Space group P4/mmm (No. 123)
One atom of each set of equivalent atoms:
La (0.0000, 0.0000, 0.2272) x2  4 Te 3.39, 1 La 3.54, 4 Tm 3.59
Tm (0.5000, 0.5000, 0.5000) x1  8 La 3.59, 2 Te 3.89
Te (0.5000, 0.5000, 0.0000) x1  8 La 3.39

Values from the calculation:
Crystal system: tetragonal
M_tot in μB per atom: 0.00
Uncorrected formation energy in meV per atom: -603

DFT (PBE) results for a relaxed LaTm2Te crystal.

abc: 3.7695 3.7695 32.8786
angles: 90.00 90.00 120.00
Last column: nearest neighbours and their distance in Å.
Space group R-3m (No. 166, hexagonal axes)
One atom of each set of equivalent atoms:
La (0.0000, 0.0000, 0.0000) x3  2 Tm 3.41, 6 La 3.77
Tm (0.0000, 0.0000, 0.1039) x6  3 Te 3.00
Te (0.0000, 0.0000, 0.5000) x3  6 Tm 3.00

Values from the calculation:
Crystal system: trigonal
M_tot in μB per atom: 0.00
Uncorrected formation energy in meV per atom: -238